(1)
Here is an optimized crystal structure of Ac2ErSb4Ir3 from the Alexandria database. Energies are from PBE.

## Properties
**Calculated volume**: 24.76 A^3/atom
**Formation energy from raw total energies**: -0.722 eV/atom
**DOS(E_F)**: 0.38 states/eV per atom

abc: 4.6319 4.6319 11.5399
angles: 90.00 90.00 90.00
Last column: nearest neighbours and their distance in Å.
Sites, in units of the cell vectors:
1 Ac 0.0000 0.5000 0.2332  8 Sb 3.53-3.55, 6 Ir 3.55-3.85, 2 Er 3.85
2 Ac 0.5000 0.0000 0.7668  8 Sb 3.53-3.55, 6 Ir 3.55-3.85, 2 Er 3.85
3 Er 0.0000 0.0000 0.5000  4 Sb 2.92
4 Sb 0.0000 0.0000 0.0000  4 Ir 2.66
5 Sb 0.0000 0.5000 0.6535  3 Ir 2.68-2.92, 2 Er 2.92
6 Sb 0.5000 0.0000 0.3465  3 Ir 2.68-2.92, 2 Er 2.92
7 Sb 0.5000 0.5000 0.0000  4 Ir 2.66
8 Ir 0.0000 0.5000 0.8861  5 Sb 2.66-2.68
9 Ir 0.5000 0.0000 0.1139  5 Sb 2.66-2.68
10 Ir 0.5000 0.5000 0.5000  4 Sb 2.92

---

(2)
Here is an optimized crystal structure of Tb4Ho4Al from the Alexandria database. Energies are from PBE.

## Properties
**Calculated volume**: 29.58 A^3/atom
**Final energy**: -40.85 eV/cell
**DOS(E_F)**: 1.44 states/eV per atom

abc: 7.8069 7.8069 7.8069
angles: 95.49 95.49 143.96
Last column: nearest neighbours and their distance in Å.
Sites, in units of the cell vectors:
1 Tb 0.1591 0.1591 0.3182  4 Tb 3.34-3.62, 2 Al 3.38, 6 Ho 3.45-3.58
2 Tb 0.1591 0.8409 0.0000  4 Tb 3.34-3.62, 2 Al 3.38, 6 Ho 3.45-3.58
3 Tb 0.8409 0.1591 0.0000  4 Tb 3.34-3.62, 2 Al 3.38, 6 Ho 3.45-3.58
4 Tb 0.8409 0.8409 0.6818  4 Tb 3.34-3.62, 2 Al 3.38, 6 Ho 3.45-3.58
5 Ho 0.1675 0.5000 0.6675  6 Tb 3.45-3.58, 5 Ho 3.47-3.52, 1 Al 3.49
6 Ho 0.5000 0.1675 0.6675  6 Tb 3.45-3.58, 5 Ho 3.47-3.52, 1 Al 3.49
7 Ho 0.5000 0.8325 0.3325  6 Tb 3.45-3.58, 5 Ho 3.47-3.52, 1 Al 3.49
8 Ho 0.8325 0.5000 0.3325  6 Tb 3.45-3.58, 5 Ho 3.47-3.52, 1 Al 3.49
9 Al 0.5000 0.5000 0.0000  8 Tb 3.38, 4 Ho 3.49

---

(3)
Here is an optimized crystal structure of Li2BSe from the Alexandria database. Energies are from PBE.

## Properties
**Calculated volume**: 13.95 A^3/atom
**Formation energy from raw total energies**: 0.205 eV/atom
**DOS(E_F)**: 0.59 states/eV per atom

abc: 4.2890 4.2890 4.2890
angles: 60.00 60.00 60.00
Last column: nearest neighbours and their distance in Å.
Sites, in units of the cell vectors:
1 Li 0.2500 0.2500 0.2500  4 Se 2.63, 4 B 2.63
2 Li 0.7500 0.7500 0.7500  4 B 2.63, 4 Se 2.63
3 B 0.0000 0.0000 0.0000  8 Li 2.63
4 Se 0.5000 0.5000 0.5000  8 Li 2.63

---

(4)
Here is an optimized crystal structure of Rb2TeHBr6 from the Alexandria database. Energies are from PBE.

## Properties
**Calculated volume**: 35.28 A^3/atom
**Final energy**: -27.00 eV/cell
**DOS(E_F)**: 0.17 states/eV per atom

abc: 7.7349 7.7349 7.7349
angles: 112.86 112.86 102.89
Last column: nearest neighbours and their distance in Å.
Sites, in units of the cell vectors:
1 Rb 0.2500 0.7500 0.5000  12 Br 3.88-4.33
2 Rb 0.7500 0.2500 0.5000  12 Br 3.88-4.33
3 Te 0.0000 0.0000 0.0000  4 Br 2.73
4 H 0.5000 0.5000 0.0000  2 Br 1.72
5 Br 0.2256 0.2256 0.4513  1 Te 2.73
6 Br 0.2256 0.7744 0.0000  1 Te 2.73
7 Br 0.3218 0.3218 0.0000  1 H 1.72
8 Br 0.6782 0.6782 0.0000  1 H 1.72
9 Br 0.7744 0.2256 0.0000  1 Te 2.73
10 Br 0.7744 0.7744 0.5487  1 Te 2.73

---

(5)
Here is an optimized crystal structure of K2InGe from the Alexandria database. Energies are from PBE.

## Properties
**Calculated volume**: 33.81 A^3/atom
**Final energy**: -16.53 eV/cell
**DOS(E_F)**: 0.66 states/eV per atom

abc: 12.5615 12.5615 12.5615
angles: 158.31 158.31 30.86
Last column: nearest neighbours and their distance in Å.
Sites, in units of the cell vectors:
1 K 0.1151 0.6250 0.9901  4 K 3.28-3.41, 2 Ge 3.44, 2 In 3.47
2 K 0.3750 0.3651 0.4901  4 K 3.28-3.41, 2 Ge 3.44, 2 In 3.47
3 K 0.6349 0.1250 0.0099  4 K 3.28-3.41, 2 Ge 3.44, 2 In 3.47
4 K 0.8750 0.8849 0.5099  4 K 3.28-3.41, 2 Ge 3.44, 2 In 3.47
5 In 0.2500 0.7500 0.5000  4 Ge 3.34, 4 K 3.47
6 In 0.5000 0.5000 0.0000  4 Ge 3.34, 4 K 3.47
7 Ge 0.0000 0.0000 0.0000  4 In 3.34, 4 K 3.44
8 Ge 0.7500 0.2500 0.5000  4 In 3.34, 4 K 3.44

---

(6)
Here is an optimized crystal structure of TlInW2 from the Alexandria database. Energies are from PBE.

## Properties
**Calculated volume**: 18.58 A^3/atom
**Final energy**: -26.28 eV/cell
**DOS(E_F)**: 0.95 states/eV per atom

abc: 4.7193 4.7193 4.7193
angles: 60.00 60.00 60.00
Last column: nearest neighbours and their distance in Å.
Sites, in units of the cell vectors:
1 Tl 0.0000 0.0000 0.0000  8 W 2.89
2 In 0.5000 0.5000 0.5000  8 W 2.89
3 W 0.2500 0.2500 0.2500  4 In 2.89, 4 Tl 2.89
4 W 0.7500 0.7500 0.7500  4 In 2.89, 4 Tl 2.89

---

(7)
Here is an optimized crystal structure of ZrCoSb2 from the Alexandria database. Energies are from PBE.

## Properties
**Calculated volume**: 20.23 A^3/atom
**Formation energy from raw total energies**: -0.017 eV/atom
**DOS(E_F)**: 1.27 states/eV per atom

abc: 3.6166 3.6166 6.1867
angles: 90.00 90.00 90.00
Last column: nearest neighbours and their distance in Å.
Sites, in units of the cell vectors:
1 Zr 0.0000 0.0000 0.0000  8 Sb 3.04, 2 Co 3.09
2 Co 0.0000 0.0000 0.5000  8 Sb 2.94, 2 Zr 3.09
3 Sb 0.5000 0.5000 0.2654  1 Sb 2.90, 4 Co 2.94, 4 Zr 3.04
4 Sb 0.5000 0.5000 0.7346  1 Sb 2.90, 4 Co 2.94, 4 Zr 3.04

---

(8)
Here is an optimized crystal structure of La4CF5 from the Alexandria database. Energies are from PBE.

## Properties
**Calculated volume**: 19.50 A^3/atom
**Formation energy from raw total energies**: -2.712 eV/atom
**DOS(E_F)**: 0.41 states/eV per atom

abc: 8.1622 8.1622 8.1622
angles: 153.03 127.22 60.25
Last column: nearest neighbours and their distance in Å.
Sites, in units of the cell vectors:
1 La 0.1795 0.1795 0.0000  1 C 2.53, 6 F 2.57-2.74
2 La 0.2407 0.5000 0.7407  4 F 2.55-2.68, 2 C 2.58
3 La 0.7593 0.5000 0.2593  4 F 2.55-2.68, 2 C 2.58
4 La 0.8205 0.8205 0.0000  1 C 2.53, 6 F 2.57-2.74
5 C 0.0000 0.0000 0.0000  6 La 2.53-2.58
6 F 0.0584 0.3195 0.7389  4 La 2.55-2.74, 2 F 2.74
7 F 0.4194 0.6805 0.7389  4 La 2.55-2.74, 2 F 2.74
8 F 0.5000 0.0000 0.5000  4 La 2.68
9 F 0.5806 0.3195 0.2611  4 La 2.55-2.74, 2 F 2.74
10 F 0.9416 0.6805 0.2611  4 La 2.55-2.74, 2 F 2.74